Record 1
An optimized crystal structure of SrMg2Co. Source: Alexandria via LeMat-Bulk, functional PBE.

```
data_SrMg2Co
_cell_length_a 4.3674
_cell_length_b 4.4423
_cell_length_c 5.0117
_cell_angle_alpha 90.00
_cell_angle_beta 90.00
_cell_angle_gamma 90.00
_space_group_name_H-M_alt 'P m m m'
_space_group_IT_number 47
_space_group_name_Hall '-P 2 2'
loop_
_atom_site_label
_atom_site_type_symbol
_atom_site_fract_x
_atom_site_fract_y
_atom_site_fract_z
Sr1 Sr 0.0000 0.0000 0.0000
Mg1 Mg 0.0000 0.5000 0.5000
Mg2 Mg 0.5000 0.0000 0.5000
Co1 Co 0.5000 0.5000 0.0000
```

Values from the calculation:
As for the raw total energy: -0.1901 Ry per atom. The density comes out at 3.3 g cm⁻³. As for the volume: 24.31 A^3/atom.

Record 2
An optimized crystal structure of Al2TlRu. Source: Alexandria via LeMat-Bulk, functional PBE.

```
data_Al2TlRu
_cell_length_a 8.9157
_cell_length_b 3.1652
_cell_length_c 5.0320
_cell_angle_alpha 90.00
_cell_angle_beta 100.70
_cell_angle_gamma 90.00
_space_group_name_H-M_alt 'C 1 2/m 1'
_space_group_IT_number 12
_space_group_name_Hall '-C 2y'
loop_
_atom_site_label
_atom_site_type_symbol
_atom_site_fract_x
_atom_site_fract_y
_atom_site_fract_z
Al1 Al 0.2305 0.0000 0.1984
Tl1 Tl 0.0000 0.0000 0.5000
Ru1 Ru 0.0000 0.5000 0.0000
```

Values from the calculation:
As for the raw total energy: -0.3458 Ry per atom. The density comes out at 8.6 g cm⁻³. As for the volume: 17.44 A^3/atom.

Record 3
An optimized crystal structure of MgNiBPt2. Source: Alexandria via LeMat-Bulk, functional PBE.

```
data_MgNiBPt2
_cell_length_a 4.2003
_cell_length_b 4.2003
_cell_length_c 3.9107
_cell_angle_alpha 90.00
_cell_angle_beta 90.00
_cell_angle_gamma 90.00
_space_group_name_H-M_alt 'P 4/m m m'
_space_group_IT_number 123
_space_group_name_Hall '-P 4 2'
loop_
_atom_site_label
_atom_site_type_symbol
_atom_site_fract_x
_atom_site_fract_y
_atom_site_fract_z
Mg1 Mg 0.0000 0.0000 0.0000
Ni1 Ni 0.5000 0.5000 0.0000
B1 B 0.5000 0.5000 0.5000
Pt1 Pt 0.0000 0.5000 0.5000
```

Values from the calculation:
As for the raw total energy: -0.4183 Ry per atom. The density comes out at 11.6 g cm⁻³. As for the volume: 13.80 A^3/atom.

Record 4
An optimized crystal structure of Pu2UPaN4. Source: Alexandria via LeMat-Bulk, functional PBE.

```
data_Pu2UPaN4
_cell_length_a 5.9907
_cell_length_b 3.4832
_cell_length_c 6.0442
_cell_angle_alpha 90.00
_cell_angle_beta 109.53
_cell_angle_gamma 90.00
_space_group_name_H-M_alt 'P 1 2/m 1'
_space_group_IT_number 10
_space_group_name_Hall '-P 2y'
loop_
_atom_site_label
_atom_site_type_symbol
_atom_site_fract_x
_atom_site_fract_y
_atom_site_fract_z
Pu1 Pu 0.0000 0.0000 0.0000
Pu2 Pu 0.0000 0.5000 0.5000
U1 U 0.5000 0.0000 0.5000
Pa1 Pa 0.5000 0.5000 0.0000
N1 N 0.2618 0.0000 0.7476
N2 N 0.2652 0.5000 0.2607
```

Values from the calculation:
As for the raw total energy: -0.8616 Ry per atom. For the raw formation energy, the calculation gives -1379 meV/atom. The density comes out at 14.2 g cm⁻³. As for the volume: 14.86 A^3/atom.

Record 5
An optimized crystal structure of Tb3Mg5Pd2. Source: Alexandria via LeMat-Bulk, functional PBE.

```
data_Tb3Mg5Pd2
_cell_length_a 12.1070
_cell_length_b 12.8671
_cell_length_c 6.2724
_cell_angle_alpha 90.00
_cell_angle_beta 90.00
_cell_angle_gamma 90.00
_space_group_name_H-M_alt 'I b a m'
_space_group_IT_number 72
_space_group_name_Hall '-I 2 2c'
loop_
_atom_site_label
_atom_site_type_symbol
_atom_site_fract_x
_atom_site_fract_y
_atom_site_fract_z
Tb1 Tb 0.0000 0.0000 0.2500
Tb2 Tb 0.2396 0.1625 0.0000
Mg1 Mg 0.0000 0.2696 0.2500
Mg2 Mg 0.0000 0.5000 0.2500
Mg3 Mg 0.1783 0.4164 0.0000
Pd1 Pd 0.1244 0.1485 0.5000
```

Values from the calculation:
As for the raw total energy: -0.2577 Ry per atom. The density comes out at 5.5 g cm⁻³. As for the volume: 24.43 A^3/atom.

Record 6
An optimized crystal structure of Pa6GeSe5. Source: Alexandria via LeMat-Bulk, functional PBE.

```
data_Pa6GeSe5
_cell_length_a 6.9574
_cell_length_b 12.7437
_cell_length_c 6.9838
_cell_angle_alpha 90.00
_cell_angle_beta 111.78
_cell_angle_gamma 90.00
_space_group_name_H-M_alt 'C 1 2/m 1'
_space_group_IT_number 12
_space_group_name_Hall '-C 2y'
loop_
_atom_site_label
_atom_site_type_symbol
_atom_site_fract_x
_atom_site_fract_y
_atom_site_fract_z
Pa1 Pa 0.2471 0.0000 0.2479
Pa2 Pa 0.2474 0.1663 0.7471
Ge1 Ge 0.0000 0.5000 0.0000
Se1 Se 0.0000 0.0000 0.5000
Se2 Se 0.0000 0.1679 0.0000
Se3 Se 0.0000 0.3357 0.5000
```

Values from the calculation:
As for the raw total energy: -0.5649 Ry per atom. For the raw formation energy, the calculation gives -1102 meV/atom. The density comes out at 10.7 g cm⁻³. As for the volume: 23.96 A^3/atom.

Record 7
An optimized crystal structure of PmAgHgGe. Source: Alexandria via LeMat-Bulk, functional PBE.

```
data_PmAgHgGe
_cell_length_a 7.1197
_cell_length_b 7.1197
_cell_length_c 7.1197
_cell_angle_alpha 90.00
_cell_angle_beta 90.00
_cell_angle_gamma 90.00
_space_group_name_H-M_alt 'F -4 3 m'
_space_group_IT_number 216
_space_group_name_Hall 'F -4 2 3'
loop_
_atom_site_label
_atom_site_type_symbol
_atom_site_fract_x
_atom_site_fract_y
_atom_site_fract_z
Pm1 Pm 0.0000 0.0000 0.0000
Ag1 Ag 0.0000 0.0000 0.5000
Hg1 Hg 0.2500 0.2500 0.2500
Ge1 Ge 0.2500 0.2500 0.7500
```

Values from the calculation:
As for the raw total energy: -0.2547 Ry per atom. The density comes out at 9.7 g cm⁻³. As for the volume: 22.56 A^3/atom.

Record 8
An optimized crystal structure of NaCaSi2. Source: Alexandria via LeMat-Bulk, functional PBE.

```
data_NaCaSi2
_cell_length_a 8.1826
_cell_length_b 8.1826
_cell_length_c 5.4167
_cell_angle_alpha 90.00
_cell_angle_beta 90.00
_cell_angle_gamma 90.00
_space_group_name_H-M_alt 'I -4 2 d'
_space_group_IT_number 122
_space_group_name_Hall 'I -4 2bw'
loop_
_atom_site_label
_atom_site_type_symbol
_atom_site_fract_x
_atom_site_fract_y
_atom_site_fract_z
Na1 Na 0.0000 0.0000 0.0000
Ca1 Ca 0.0000 0.0000 0.5000
Si1 Si 0.2414 0.2500 0.1250
```

Values from the calculation:
As for the raw total energy: -0.2356 Ry per atom. For the raw formation energy, the calculation gives 337 meV/atom. The density comes out at 2.2 g cm⁻³. As for the volume: 22.67 A^3/atom.

Record 9
An optimized crystal structure of CrIn2Mo. Source: Alexandria via LeMat-Bulk, functional PBE.

```
data_CrIn2Mo
_cell_length_a 3.0842
_cell_length_b 3.0842
_cell_length_c 27.7414
_cell_angle_alpha 90.00
_cell_angle_beta 90.00
_cell_angle_gamma 120.00
_space_group_name_H-M_alt 'R -3 m'
_space_group_IT_number 166
_space_group_name_Hall '-R 3 2"'
loop_
_atom_site_label
_atom_site_type_symbol
_atom_site_fract_x
_atom_site_fract_y
_atom_site_fract_z
Cr1 Cr 0.0000 0.0000 0.0000
In1 In 0.0000 0.0000 0.2506
Mo1 Mo 0.0000 0.0000 0.5000
```

Values from the calculation:
As for the raw total energy: -0.4379 Ry per atom. The density comes out at 8.2 g cm⁻³. As for the volume: 19.04 A^3/atom.

Record 10
An optimized crystal structure of CoTeMo2. Source: Alexandria via LeMat-Bulk, functional PBE.

```
data_CoTeMo2
_cell_length_a 3.2730
_cell_length_b 3.2730
_cell_length_c 6.0366
_cell_angle_alpha 90.00
_cell_angle_beta 90.00
_cell_angle_gamma 90.00
_space_group_name_H-M_alt 'P 4 m m'
_space_group_IT_number 99
_space_group_name_Hall 'P 4 -2'
loop_
_atom_site_label
_atom_site_type_symbol
_atom_site_fract_x
_atom_site_fract_y
_atom_site_fract_z
Co1 Co 0.0000 0.0000 0.0000
Te1 Te 0.5000 0.5000 0.7128
Mo1 Mo 0.0000 0.0000 0.4466
Mo2 Mo 0.5000 0.5000 0.1787
```

Values from the calculation:
As for the raw total energy: -0.5656 Ry per atom. For the raw formation energy, the calculation gives 283 meV/atom. The density comes out at 9.7 g cm⁻³. As for the volume: 16.17 A^3/atom.

Record 11
An optimized crystal structure of KAg2Ge. Source: Alexandria via LeMat-Bulk, functional PBE.

```
data_KAg2Ge
_cell_length_a 4.6692
_cell_length_b 4.6692
_cell_length_c 17.9842
_cell_angle_alpha 90.00
_cell_angle_beta 90.00
_cell_angle_gamma 120.00
_space_group_name_H-M_alt 'R -3 m'
_space_group_IT_number 166
_space_group_name_Hall '-R 3 2"'
loop_
_atom_site_label
_atom_site_type_symbol
_atom_site_fract_x
_atom_site_fract_y
_atom_site_fract_z
K1 K 0.0000 0.0000 0.0000
Ag1 Ag 0.0000 0.0000 0.1886
Ge1 Ge 0.0000 0.0000 0.5000
```

Values from the calculation:
As for the raw total energy: -0.2090 Ry per atom. The density comes out at 4.8 g cm⁻³. As for the volume: 28.30 A^3/atom.

Record 12
An optimized crystal structure of VGa2Tc. Source: Alexandria via LeMat-Bulk, functional PBE.

```
data_VGa2Tc
_cell_length_a 3.7889
_cell_length_b 3.7889
_cell_length_c 4.0023
_cell_angle_alpha 90.00
_cell_angle_beta 90.00
_cell_angle_gamma 90.00
_space_group_name_H-M_alt 'P 4/m m m'
_space_group_IT_number 123
_space_group_name_Hall '-P 4 2'
loop_
_atom_site_label
_atom_site_type_symbol
_atom_site_fract_x
_atom_site_fract_y
_atom_site_fract_z
V1 V 0.0000 0.0000 0.0000
Ga1 Ga 0.0000 0.5000 0.5000
Tc1 Tc 0.5000 0.5000 0.0000
```

Values from the calculation:
As for the raw total energy: -0.4747 Ry per atom. The density comes out at 8.3 g cm⁻³. As for the volume: 14.36 A^3/atom.

Q: The highest raw total energy belongs to which entry?
A: SrMg2Co